Entry 1:
An optimized crystal structure of Be3InIr. Source: the Alexandria database, functional PBE.

Calculated values
The electronic total energy comes out at -0.2202 Ry per atom. As for the space group: Pm-3m, No. 221. The calculation puts the distance to the lowest polymorph of the same formula at 127.2 kJ per mole of atoms.

Unit cell a=4.308 b=4.308 c=4.308 alpha=90.00 beta=90.00 gamma=90.00
Atoms (fractional coordinates):
1 Be 0.000 0.000 0.500
2 Be 0.000 0.500 0.000
3 In 0.000 0.000 0.000
4 Ir 0.500 0.500 0.500
5 Be 0.500 0.000 0.000

=====

Entry 2:
An optimized crystal structure of BeInIr2. Source: the Alexandria database, functional PBE.

Calculated values
The electronic total energy comes out at -0.4473 Ry per atom. As for the space group: Pmm2, No. 25.

Unit cell a=2.802 b=3.575 c=6.063 alpha=90.00 beta=90.00 gamma=90.00
Atoms (fractional coordinates):
1 Ir 0.000 0.000 0.027
2 Ir 0.500 0.500 0.304
3 In 0.500 0.500 0.756
4 Be 0.000 0.000 0.413

=====

Entry 3:
An optimized crystal structure of BeIn2Ir. Source: the Alexandria database, functional PBE.

Calculated values
The electronic total energy comes out at -0.3251 Ry per atom. As for the space group: Imm2, No. 44.

Unit cell a=5.360 b=5.360 c=5.360 alpha=139.89 beta=132.88 gamma=63.56
Atoms (fractional coordinates):
1 In 0.006 0.006 0.000
2 Be 0.313 0.813 0.500
3 Ir 0.449 0.449 0.000
4 In 0.732 0.232 0.500

=====

Entry 4:
An optimized crystal structure of BeInIr4. Source: the Alexandria database, functional PBE.

Calculated values
The electronic total energy comes out at -0.4811 Ry per atom. As for the space group: F-43m, No. 216.

Unit cell a=5.195 b=5.195 c=5.195 alpha=60.00 beta=60.00 gamma=60.00
Atoms (fractional coordinates):
1 In 0.000 0.000 0.000
2 Ir 0.126 0.625 0.625
3 Ir 0.625 0.625 0.625
4 Be 0.250 0.250 0.250
5 Ir 0.625 0.625 0.126
6 Ir 0.625 0.126 0.625

=====

Entry 5:
An optimized crystal structure of BeIn2Ir. Source: the Alexandria database, functional PBE.

Calculated values
The electronic total energy comes out at -0.3179 Ry per atom. As for the space group: I4/mmm, No. 139.

Unit cell a=4.894 b=4.894 c=4.894 alpha=130.11 beta=130.02 gamma=73.31
Atoms (fractional coordinates):
1 In 0.500 0.500 0.000
2 Ir 0.750 0.250 0.500
3 Be 0.250 0.750 0.500
4 In 0.000 0.000 0.000

=====

Entry 6:
An optimized crystal structure of Be2InIr2. Source: the Alexandria database, functional PBE.

Calculated values
The electronic total energy comes out at -0.4254 Ry per atom. As for the space group: P4/mbm, No. 127. The calculation puts the distance to the lowest polymorph of the same formula at 12.7 kJ per mole of atoms.

Unit cell a=6.864 b=6.864 c=2.893 alpha=90.00 beta=90.00 gamma=90.00
Atoms (fractional coordinates):
1 Ir 0.354 0.854 0.000
2 Ir 0.146 0.354 0.000
3 Be 0.140 0.640 0.500
4 Ir 0.646 0.146 0.000
5 In 0.500 0.500 0.000
6 Be 0.640 0.860 0.500
7 Ir 0.854 0.646 0.000
8 In 0.000 0.000 0.000
9 Be 0.360 0.140 0.500
10 Be 0.860 0.360 0.500

=====

Entry 7:
An optimized crystal structure of BeIn2Ir. Source: the Alexandria database, functional PBE.

Calculated values
The electronic total energy comes out at -0.3375 Ry per atom. As for the space group: Amm2, No. 38.

Unit cell a=3.803 b=3.924 c=5.193 alpha=67.78 beta=90.00 gamma=90.00
Atoms (fractional coordinates):
1 In 0.500 0.276 0.323
2 Be 0.500 0.563 0.749
3 In 0.000 0.976 0.923
4 Ir 0.000 0.685 0.505

=====

Entry 8:
An optimized crystal structure of Be3InIr. Source: the Alexandria database, functional PBE.

Calculated values
The electronic total energy comes out at -0.3170 Ry per atom. As for the space group: Pm-3m, No. 221. The calculation puts the distance to the lowest polymorph of the same formula at 0.0 kJ per mole of atoms.

Unit cell a=4.304 b=4.304 c=4.304 alpha=90.00 beta=90.00 gamma=90.00
Atoms (fractional coordinates):
1 Ir 0.000 0.000 0.000
2 Be 0.000 0.000 0.500
3 Be 0.000 0.500 0.000
4 Be 0.500 0.000 0.000
5 In 0.500 0.500 0.500

=====

Ρ readings, ordered: 6.94; 13.90; 9.97; 14.95; 10.68; 12.60; 9.97; 6.96 g cm⁻³
Formation enthalpy at 0 K readings, ordered: 1.560; -0.039; 0.093; 0.439; 0.191; -0.206; -0.076; 0.242 eV/atom